Computed, not measured: a relaxed La5CePr2Dy crystal at the PBE level of DFT.

Cell: 10.325 10.325 10.325 Å, 129.71 129.71 73.87°
Atoms (fractional coordinates):
La1 0.000 0.000 0.000
La2 0.036 0.536 0.870
La3 0.166 0.036 0.500
La4 0.334 0.834 0.870
La5 0.464 0.334 0.500
La6 0.500 0.500 0.000
La7 0.536 0.666 0.500
La8 0.666 0.166 0.130
La9 0.834 0.964 0.500
La10 0.964 0.464 0.130
Ce1 0.250 0.750 0.500
Ce2 0.750 0.250 0.500
Pr1 0.129 0.371 0.500
Pr2 0.371 0.871 0.243
Pr3 0.629 0.129 0.757
Pr4 0.871 0.629 0.500
Dy1 0.250 0.250 0.000
Dy2 0.750 0.750 0.000

Values from the calculation:
Its total energy is -4.7620 eV per atom. As for the space group: I4/mcm, No. 140. The value obtained for the formation energy is 0.21 eV/atom.